No. 1
VASP calculation (GGA-PBE) on crystalline LaNbMo2 at its relaxed geometry.

Cell and atoms, written as POSCAR:
```
LaNbMo2
1.0
4.148 0.000 0.000
0.000 4.148 0.000
0.000 0.000 20.324
La Nb Mo
4 4 8
direct
0.000 0.000 0.000
0.000 0.500 0.250
0.500 0.000 0.750
0.500 0.500 0.500
0.000 0.000 0.500
0.000 0.500 0.750
0.500 0.000 0.250
0.500 0.500 0.000
0.176 0.250 0.625
0.250 0.676 0.875
0.250 0.824 0.375
0.324 0.250 0.125
0.676 0.750 0.125
0.750 0.176 0.375
0.750 0.324 0.875
0.824 0.750 0.625
```

Raw total energy (Ha/atom): -0.297
DOS at the Fermi energy (states/eV/atom): 1.405
Polymorph energy (0 for the lowest one) (meV/atom): 633
Space-group type: I-42d (122)

=====

No. 2
VASP calculation (GGA-PBE) on crystalline YSn2PdBr at its relaxed geometry.

Cell and atoms, written as POSCAR:
```
YSn2PdBr
1.0
6.040 0.000 0.000
0.000 6.040 0.000
0.000 0.000 5.082
Y Sn Pd Br
1 2 1 1
direct
0.000 0.000 0.000
0.000 0.500 0.000
0.500 0.000 0.000
0.000 0.000 0.500
0.500 0.500 0.500
```

Raw total energy (Ha/atom): -0.140
Raw formation energy (eV per atom): 0.468
DOS at the Fermi energy (states/eV/atom): 0.664
Space-group type: P4/mmm (123)

=====

Q: The lowest DOS at the Fermi energy belongs to which entry?
A: YSn2PdBr